(1)
Material: BaRe7
Method: DFT, GGA-PBE
State: relaxed

```
BaRe7
1.0
0.000 4.042 4.042
4.042 0.000 4.042
4.042 4.042 0.000
Re Ba
7 1
direct
0.500 0.500 0.000
0.500 0.500 0.500
0.000 0.000 0.500
0.500 0.000 0.500
0.000 0.500 0.500
0.000 0.500 0.000
0.500 0.000 0.000
0.000 0.000 0.000
```

## Properties
Its formation enthalpy at 0 K is 1.2309 eV/atom. Its raw total energy is -9.90 eV per atom. As for the symmetry: Fm-3m. As for the density of states at the Fermi level: 14.29 states/eV per cell.



(2)
Material: BaSr2ZrTe
Method: DFT, GGA-PBE
State: relaxed

```
BaSr2ZrTe
1.0
6.044 0.000 0.000
0.000 5.914 0.000
0.000 0.000 6.044
Sr Ba Te Zr
2 1 1 1
direct
0.500 0.000 0.000
0.000 0.000 0.500
0.000 0.500 0.000
0.500 0.500 0.500
0.000 0.000 0.000
```

## Properties
Its raw total energy is -2.98 eV per atom. As for the symmetry: P4/mmm. The uncorrected formation energy comes out at 0.4139 eV per atom. As for the density of states at the Fermi level: 5.30 states/eV per cell.



(3)
Material: PmSnSb2
Method: DFT, GGA-PBE
State: relaxed

```
PmSnSb2
1.0
-0.893 -2.537 3.549
3.948 1.072 1.759
-4.810 9.066 5.270
Sn Sb Pm
2 4 2
direct
0.500 0.500 0.000
0.000 0.000 0.000
0.000 0.500 0.771
0.500 0.000 0.229
0.500 0.500 0.500
0.000 0.000 0.500
0.500 0.000 0.716
0.000 0.500 0.284
```

## Properties
As for the energy above the most stable polymorph in this dataset: 0.000 eV/atom. Its raw total energy is -4.78 eV per atom. As for the symmetry: P4/nmm. The uncorrected formation energy comes out at -0.5318 eV per atom. As for the density of states at the Fermi level: 2.87 states/eV per cell.



(4)
Material: Y3InRu2
Method: DFT, GGA-PBE
State: relaxed

```
Y3InRu2
1.0
3.485 0.000 0.000
0.000 3.485 0.000
0.000 0.000 10.962
Ru Y In
2 3 1
direct
0.500 0.500 0.841
0.500 0.500 0.159
0.000 0.000 0.698
0.000 0.000 0.302
0.000 0.000 0.000
0.500 0.500 0.500
```

## Properties
Its formation enthalpy at 0 K is -0.4085 eV/atom. Its raw total energy is -7.19 eV per atom. As for the symmetry: P4/mmm. As for the density of states at the Fermi level: 3.42 states/eV per cell.